Density functional theory data (PBE-GGA) for a relaxed structure of YZnGaO4.

abc: 6.310 6.310 6.310
angles: 121.23 117.46 91.16
Atoms (fractional coordinates):
Y1 0.000 0.000 0.000
Y2 0.500 0.000 0.500
Zn1 0.365 0.615 0.750
Zn2 0.635 0.385 0.250
Ga1 0.000 0.000 0.500
Ga2 0.000 0.500 0.000
O1 0.211 0.744 0.467
O2 0.222 0.256 0.967
O3 0.231 0.225 0.494
O4 0.231 0.738 0.006
O5 0.769 0.262 0.994
O6 0.769 0.775 0.506
O7 0.778 0.744 0.033
O8 0.789 0.256 0.533

Results
* uncorrected formation energy: -2.197 eV per atom
* density of states at the Fermi level: 0.0 states/eV per cell
* crystal system: orthorhombic